Record 1
Material: NdDy2S4
Method: DFT, PBE
State: relaxed

Calculated values
Distance to the lowest polymorph of the same formula: 0.019 eV/atom

a b c (Å): 3.8878 11.9641 14.1567
angles (deg): 90.00 90.00 90.00
Fractional coordinates of all 28 atoms:
Dy (0.2500, 0.4076, 0.9050)
Dy (0.2500, 0.9076, 0.5950)
Dy (0.7500, 0.5645, 0.6120)
Dy (0.7500, 0.0924, 0.4050)
Dy (0.7500, 0.5924, 0.0950)
Dy (0.2500, 0.9355, 0.1120)
Dy (0.2500, 0.4355, 0.3880)
Dy (0.7500, 0.0645, 0.8880)
S (0.2500, 0.4050, 0.5783)
S (0.2500, 0.2015, 0.8162)
S (0.7500, 0.2985, 0.3162)
S (0.2500, 0.6310, 0.9603)
S (0.2500, 0.7015, 0.6838)
S (0.2500, 0.5387, 0.2174)
S (0.7500, 0.7985, 0.1838)
S (0.7500, 0.3690, 0.0397)
S (0.7500, 0.5950, 0.4217)
S (0.7500, 0.0950, 0.0783)
S (0.7500, 0.4613, 0.7826)
S (0.2500, 0.0387, 0.2826)
S (0.7500, 0.9613, 0.7174)
S (0.2500, 0.1310, 0.5397)
S (0.2500, 0.9050, 0.9217)
S (0.7500, 0.8690, 0.4603)
Nd (0.2500, 0.2507, 0.1675)
Nd (0.7500, 0.2493, 0.6675)
Nd (0.2500, 0.7507, 0.3325)
Nd (0.7500, 0.7493, 0.8325)


Record 2
Material: K3HfV2Se6
Method: DFT, PBE
State: relaxed

Calculated values
Raw total energy: -5.432 eV per atom

a b c (Å): 6.7535 6.7535 7.9055
angles (deg): 98.19 98.19 120.00
Fractional coordinates of all 12 atoms:
Se (0.0633, 0.4026, 0.1898)
Se (0.7233, 0.7233, 0.1888)
Se (0.5974, 0.9367, 0.8102)
Se (0.2767, 0.2767, 0.8112)
Se (0.4026, 0.0633, 0.1898)
Se (0.9367, 0.5974, 0.8102)
K (0.5000, 0.5000, 0.5000)
K (0.8348, 0.1652, 0.5000)
K (0.1652, 0.8348, 0.5000)
V (0.3328, 0.6672, 0.0000)
V (0.6672, 0.3328, 0.0000)
Hf (0.0000, 0.0000, 0.0000)